(1)
# SnGe3Te

An optimized crystal structure of SnGe3Te (PBE, Alexandria).

Output
* raw formation energy: 380 kJ/mol of formula units
* symmetry: No. 221
* density of states at the Fermi level: 4.7 states/eV per cell

Cell lengths 5.345, 5.345, 5.345 Å; angles 90.00, 90.00, 90.00 degrees
Fractional coordinates of all 5 atoms:
1 Sn 0.000 0.000 0.000
2 Ge 0.000 0.000 0.500
3 Ge 0.000 0.500 0.000
4 Te 0.500 0.500 0.500
5 Ge 0.500 0.000 0.000

---

(2)
# CdCuP2S

An optimized crystal structure of CdCuP2S (PBE, Alexandria).

Output
* raw formation energy: 672 kJ/mol of formula units
* symmetry: No. 123
* density of states at the Fermi level: 3.8 states/eV per cell

Cell lengths 4.953, 4.953, 5.026 Å; angles 90.00, 90.00, 90.00 degrees
Fractional coordinates of all 5 atoms:
1 S 0.000 0.000 0.500
2 Cu 0.500 0.500 0.500
3 P 0.000 0.500 0.000
4 Cd 0.000 0.000 0.000
5 P 0.500 0.000 0.000

---

(3)
# ZrZnTcPd

An optimized crystal structure of ZrZnTcPd (PBE, Alexandria).

Output
* symmetry: No. 216
* formation energy: -255 meV/atom
* density of states at the Fermi level: 4.9 states/eV per cell

Cell lengths 4.523, 4.523, 4.523 Å; angles 60.00, 60.00, 60.00 degrees
Fractional coordinates of all 4 atoms:
1 Tc 0.250 0.250 0.250
2 Zn 0.000 0.000 0.000
3 Zr 0.500 0.500 0.500
4 Pd 0.750 0.750 0.750

---

(4)
# TeAs2Ir

An optimized crystal structure of TeAs2Ir (PBE, Alexandria).

Output
* raw formation energy: 122 kJ/mol of formula units
* symmetry: No. 69
* density of states at the Fermi level: 1.9 states/eV per cell

Cell lengths 5.747, 3.933, 3.935 Å; angles 86.56, 71.23, 108.76 degrees
Fractional coordinates of all 4 atoms:
1 Te 0.500 0.000 0.500
2 As 0.000 0.000 0.000
3 Ir 0.500 0.500 0.000
4 As 0.000 0.500 0.500

---

(5)
# YbCu3Te3

An optimized crystal structure of YbCu3Te3 (PBE, Alexandria).

Output
* raw formation energy: -322 kJ/mol of formula units
* symmetry: No. 148
* density of states at the Fermi level: 33.0 states/eV per cell

Cell lengths 8.356, 8.356, 8.356 Å; angles 52.61, 52.61, 52.61 degrees
Fractional coordinates of all 14 atoms:
1 Te 0.596 0.920 0.232
2 Te 0.920 0.232 0.596
3 Te 0.404 0.080 0.768
4 Cu 0.231 0.863 0.524
5 Cu 0.524 0.231 0.863
6 Yb 0.665 0.665 0.665
7 Te 0.768 0.404 0.080
8 Yb 0.335 0.335 0.335
9 Cu 0.863 0.524 0.231
10 Cu 0.769 0.137 0.476
11 Te 0.080 0.768 0.404
12 Cu 0.137 0.476 0.769
13 Cu 0.476 0.769 0.137
14 Te 0.232 0.596 0.920

---

(6)
# W2C

An optimized crystal structure of W2C (PBE, Alexandria).

Output
* symmetry: No. 225
* formation energy: 1060 meV/atom
* density of states at the Fermi level: 2.1 states/eV per cell

Cell lengths 3.817, 3.817, 3.817 Å; angles 60.00, 60.00, 60.00 degrees
Fractional coordinates of all 3 atoms:
1 C 0.000 0.000 0.000
2 W 0.250 0.250 0.250
3 W 0.750 0.750 0.750

---

(7)
# TbY5HoTm2

An optimized crystal structure of TbY5HoTm2 (PBE, Alexandria).

Output
* symmetry: No. 36
* formation energy: 160 meV/atom
* density of states at the Fermi level: 32.2 states/eV per cell

Cell lengths 5.582, 10.319, 10.546 Å; angles 90.00, 90.00, 105.69 degrees
Fractional coordinates of all 18 atoms:
1 Y 0.521 0.042 0.238
2 Ho 0.803 0.606 0.513
3 Tb 0.414 0.827 0.452
4 Tm 0.112 0.225 0.316
5 Y 0.017 0.035 0.022
6 Tm 0.890 0.780 0.238
7 Y 0.280 0.559 0.316
8 Ho 0.197 0.394 0.013
9 Y 0.385 0.771 0.023
10 Y 0.299 0.599 0.706
11 Tb 0.586 0.173 0.952
12 Tm 0.888 0.775 0.816
13 Y 0.615 0.229 0.523
14 Y 0.983 0.965 0.522
15 Y 0.701 0.401 0.206
16 Y 0.479 0.958 0.738
17 Tm 0.110 0.220 0.738
18 Y 0.720 0.441 0.816

---

(8)
# PrMn2Se4

An optimized crystal structure of PrMn2Se4 (PBE, Alexandria).

Output
* raw formation energy: -631 kJ/mol of formula units
* symmetry: No. 63
* density of states at the Fermi level: 3.9 states/eV per cell

Cell lengths 3.970, 6.608, 12.807 Å; angles 90.00, 90.00, 107.48 degrees
Fractional coordinates of all 14 atoms:
1 Se 0.773 0.546 0.390
2 Se 0.227 0.454 0.890
3 Mn 0.132 0.264 0.065
4 Pr 0.386 0.773 0.250
5 Se 0.061 0.121 0.250
6 Mn 0.868 0.736 0.935
7 Mn 0.132 0.264 0.435
8 Se 0.939 0.879 0.750
9 Pr 0.614 0.227 0.750
10 Mn 0.868 0.736 0.565
11 Se 0.773 0.546 0.110
12 Se 0.500 0.000 0.000
13 Se 0.500 0.000 0.500
14 Se 0.227 0.454 0.610

---

(9)
# BaP2Rh

An optimized crystal structure of BaP2Rh (PBE, Alexandria).

Output
* symmetry: No. 122
* formation energy: -657 meV/atom
* density of states at the Fermi level: 4.7 states/eV per cell

Cell lengths 7.244, 7.244, 6.346 Å; angles 55.19, 55.19, 90.00 degrees
Fractional coordinates of all 8 atoms:
1 P 0.375 0.487 0.750
2 Ba 0.000 0.000 0.000
3 Ba 0.750 0.250 0.500
4 Rh 0.500 0.500 0.000
5 P 0.513 0.125 0.250
6 Rh 0.250 0.750 0.500
7 P 0.875 0.763 0.750
8 P 0.237 0.625 0.250

---

(10)
# Pr3NpRu4

An optimized crystal structure of Pr3NpRu4 (PBE, Alexandria).

Output
* symmetry: No. 44
* formation energy: -110 meV/atom
* density of states at the Fermi level: 9.4 states/eV per cell

Cell lengths 6.364, 6.364, 6.364 Å; angles 105.63, 97.73, 126.59 degrees
Fractional coordinates of all 8 atoms:
1 Np 0.005 0.500 0.505
2 Ru 0.526 0.235 0.291
3 Ru 0.056 0.765 0.291
4 Pr 0.948 0.000 0.948
5 Pr 0.579 0.757 0.336
6 Ru 0.229 0.684 0.913
7 Pr 0.579 0.243 0.822
8 Ru 0.229 0.316 0.545

---

(11)
# HfGaBi2B

An optimized crystal structure of HfGaBi2B (PBE, Alexandria).

Output
* symmetry: No. 123
* formation energy: 1557 meV/atom
* density of states at the Fermi level: 2.5 states/eV per cell

Cell lengths 5.379, 5.095, 5.379 Å; angles 90.00, 90.00, 90.00 degrees
Fractional coordinates of all 5 atoms:
1 Hf 0.000 0.500 0.000
2 B 0.500 0.500 0.500
3 Bi 0.000 0.000 0.500
4 Bi 0.500 0.000 0.000
5 Ga 0.000 0.000 0.000

---

(12)
# LaTcS2

An optimized crystal structure of LaTcS2 (PBE, Alexandria).

Output
* raw formation energy: -276 kJ/mol of formula units
* symmetry: No. 225
* density of states at the Fermi level: 2.9 states/eV per cell

Cell lengths 4.740, 4.740, 4.740 Å; angles 60.00, 60.00, 60.00 degrees
Fractional coordinates of all 4 atoms:
1 S 0.250 0.250 0.250
2 S 0.750 0.750 0.750
3 Tc 0.000 0.000 0.000
4 La 0.500 0.500 0.500

---

| no. | E (eV per atom) |
| --- | --- |
| 1 | -3.4113 |
| 2 | -2.5977 |
| 3 | -6.5998 |
| 4 | -5.0086 |
| 5 | -3.7961 |
| 6 | -10.6502 |
| 7 | -5.4480 |
| 8 | -6.2280 |
| 9 | -5.6806 |
| 10 | -8.1575 |
| 11 | -3.9265 |
| 12 | -6.6015 |